# TcTe2OsO | the Alexandria database | PBE | relaxed
data_TcTe2OsO
_chemical_formula_sum 'Tc1 Te2 Os1 O1'
_cell_length_a 5.4027
_cell_length_b 5.4027
_cell_length_c 3.6510
_cell_angle_alpha 90.00
_cell_angle_beta 90.00
_cell_angle_gamma 90.00
_space_group_name_H-M_alt 'P 4/m m m'
_space_group_IT_number 123
_space_group_name_Hall '-P 4 2'
loop_
_atom_site_label
_atom_site_type_symbol
_atom_site_fract_x
_atom_site_fract_y
_atom_site_fract_z
_atom_site_occupancy
Tc1 Tc 0.0000 0.0000 0.0000 1
Te1 Te 0.0000 0.5000 0.5000 1
Os1 Os 0.5000 0.5000 0.5000 1
O1 O 0.5000 0.5000 0.0000 1
# energy relative to the elements, uncorrected: 0.431 eV/atom

# Cd2PtI8 | the Alexandria database | PBE | relaxed
data_Cd2PtI8
_chemical_formula_sum 'Cd4 Pt2 I16'
_cell_length_a 15.3152
_cell_length_b 8.6037
_cell_length_c 7.3318
_cell_angle_alpha 90.00
_cell_angle_beta 93.59
_cell_angle_gamma 90.00
_space_group_name_H-M_alt 'C 1 2/m 1'
_space_group_IT_number 12
loop_
_space_group_symop_operation_xyz
'x,y,z'
'-x,-y,-z'
'-x,y,-z'
'x,-y,z'
'x+1/2,y+1/2,z'
'-x+1/2,-y+1/2,-z'
'-x+1/2,y+1/2,-z'
'x+1/2,-y+1/2,z'
loop_
_atom_site_label
_atom_site_type_symbol
_atom_site_fract_x
_atom_site_fract_y
_atom_site_fract_z
_atom_site_occupancy
Cd1 Cd 0.1597 0.0000 0.4590 1
Pt1 Pt 0.0000 0.0000 0.0000 1
I1 I 0.0636 0.2254 0.2357 1
I2 I 0.1568 0.0000 0.8479 1
I3 I 0.1611 0.5000 0.5721 1
# energy relative to the elements, uncorrected: -0.353 eV/atom

# Ac8Si3AgI4 | the Alexandria database | PBE | relaxed
data_Ac8Si3AgI4
_chemical_formula_sum 'Ac24 Si9 Ag3 I12'
_cell_length_a 9.2413
_cell_length_b 9.2413
_cell_length_c 24.1604
_cell_angle_alpha 90.00
_cell_angle_beta 90.00
_cell_angle_gamma 120.00
_space_group_name_H-M_alt 'R -3 m'
_space_group_IT_number 166
_space_group_name_Hall '-R 3 2"'
loop_
_atom_site_label
_atom_site_type_symbol
_atom_site_fract_x
_atom_site_fract_y
_atom_site_fract_z
_atom_site_occupancy
Ac1 Ac 0.0000 0.0000 0.2336 1
Ac2 Ac 0.0079 0.5040 0.7645 1
Si1 Si 0.0000 0.5000 0.5000 1
Ag1 Ag 0.0000 0.0000 0.5000 1
I1 I 0.0000 0.0000 0.0000 1
I2 I 0.0000 0.5000 0.0000 1
# energy relative to the elements, uncorrected: -0.816 eV/atom

# LaHoEr2Sc | the Alexandria database | PBE | relaxed
data_LaHoEr2Sc
_chemical_formula_sum 'La1 Ho1 Er2 Sc1'
_cell_length_a 3.5525
_cell_length_b 5.4396
_cell_length_c 8.3478
_cell_angle_alpha 90.00
_cell_angle_beta 90.00
_cell_angle_gamma 90.00
_space_group_name_H-M_alt 'P m m m'
_space_group_IT_number 47
loop_
_space_group_symop_operation_xyz
'x,y,z'
'-x,-y,-z'
'-x,-y,z'
'x,y,-z'
'x,-y,-z'
'-x,y,z'
'-x,y,-z'
'x,-y,z'
loop_
_atom_site_label
_atom_site_type_symbol
_atom_site_fract_x
_atom_site_fract_y
_atom_site_fract_z
_atom_site_occupancy
La1 La 0.0000 0.0000 0.0000 1
Ho1 Ho 0.5000 0.0000 0.5000 1
Er1 Er 0.0000 0.5000 0.3140 1
Sc1 Sc 0.5000 0.5000 0.0000 1
# formation energy: 0.21 eV per atom

# MgAsP | the Alexandria database | PBE | relaxed
data_MgAsP
_chemical_formula_sum 'Mg2 As2 P2'
_cell_length_a 4.8204
_cell_length_b 4.8204
_cell_length_c 5.2269
_cell_angle_alpha 90.00
_cell_angle_beta 90.00
_cell_angle_gamma 90.00
_space_group_name_H-M_alt 'P 4/n m m'
_space_group_IT_number 129
loop_
_space_group_symop_operation_xyz
'x,y,z'
'-x,-y,-z'
'-y+1/2,x,z'
'y+1/2,-x,-z'
'-x+1/2,-y+1/2,z'
'x+1/2,y+1/2,-z'
'y,-x+1/2,z'
'-y,x+1/2,-z'
'x+1/2,-y,-z'
'-x+1/2,y,z'
'-y,-x,-z'
'y,x,z'
'-x,y+1/2,-z'
'x,-y+1/2,z'
'y+1/2,x+1/2,-z'
'-y+1/2,-x+1/2,z'
loop_
_atom_site_label
_atom_site_type_symbol
_atom_site_fract_x
_atom_site_fract_y
_atom_site_fract_z
_atom_site_occupancy
Mg1 Mg 0.2500 0.7500 0.0000 1
As1 As 0.2500 0.2500 0.3011 1
P1 P 0.2500 0.2500 0.7315 1
# E above lowest polymorph: 3.97 kcal/mol of atoms
# formation energy: -0.06 eV per atom

# V5S2 | the Alexandria database | PBE | relaxed
data_V5S2
_chemical_formula_sum 'V20 S8'
_cell_length_a 12.8129
_cell_length_b 5.1001
_cell_length_c 5.6007
_cell_angle_alpha 90.00
_cell_angle_beta 94.92
_cell_angle_gamma 90.00
_space_group_name_H-M_alt 'C 1 2/c 1'
_space_group_IT_number 15
loop_
_space_group_symop_operation_xyz
'x,y,z'
'-x,-y,-z'
'-x,y,-z+1/2'
'x,-y,z+1/2'
'x+1/2,y+1/2,z'
'-x+1/2,-y+1/2,-z'
'-x+1/2,y+1/2,-z+1/2'
'x+1/2,-y+1/2,z+1/2'
loop_
_atom_site_label
_atom_site_type_symbol
_atom_site_fract_x
_atom_site_fract_y
_atom_site_fract_z
_atom_site_occupancy
V1 V 0.0000 0.0970 0.2500 1
V2 V 0.0920 0.4148 0.9203 1
V3 V 0.2262 0.1310 0.2770 1
S1 S 0.1127 0.1735 0.5810 1
# energy relative to the elements, uncorrected: -0.513 eV/atom

no.,volume (Å³/atom),total magnetic moment (μB/f.u.)
1,21.314,2.6
2,43.827,0.0
3,37.227,0.0
4,32.263,0.0
5,20.242,0.0
6,13.023,0.0